Material: SrMgAl2Ir
Method: DFT, PBE
State: optimized geometry

## Properties
* formation energy: -2.07 eV per formula unit
* space-group type: No. 123
* size of the total moment: 0.0 μB/f.u.

Cell lengths 4.816, 4.816, 5.040 Å; angles 90.00, 90.00, 90.00 degrees
Positions (direct):
Sr 0.500 0.500 0.500
Al 0.500 0.000 0.000
Mg 0.000 0.000 0.500
Al 0.000 0.500 0.000
Ir 0.000 0.000 0.000